First-principles (SCAN) data for a crystal of BaTaHg2 relaxed with PBEsol, as listed in the Alexandria database.

Properties
formation enthalpy at 0 K = 0.43 eV per atom
crystal system = tetragonal

Structure (POSCAR):
```
BaTaHg2
1.0
-2.909 0.520 -0.866
-1.823 -2.846 4.416
-0.055 4.684 2.996
Ba Hg Ta
1 2 1
Direct
0.500 0.000 0.000
0.000 0.000 0.500
0.000 0.500 0.000
0.500 0.500 0.500
```

---

First-principles (SCAN) data for a crystal of Zr5SnPb3 relaxed with PBEsol, as listed in the Alexandria database.

Properties
formation enthalpy at 0 K = -0.56 eV per atom
crystal system = hexagonal

Structure (POSCAR):
```
Zr5SnPb3
1.0
-0.996 1.453 -5.684
4.226 -7.286 -2.603
-8.691 -0.230 1.464
Pb Zr Sn
6 10 2
Direct
0.250 0.385 0.385
0.750 0.385 0.000
0.250 0.615 0.000
0.750 0.000 0.385
0.250 0.000 0.615
0.750 0.615 0.615
0.500 0.333 0.667
0.750 0.279 0.279
0.000 0.333 0.667
0.750 0.721 0.000
0.250 0.279 0.000
0.000 0.667 0.333
0.500 0.667 0.333
0.250 0.721 0.721
0.750 0.000 0.721
0.250 0.000 0.279
0.000 0.000 0.000
0.500 0.000 0.000
```

---

First-principles (SCAN) data for a crystal of Ce2Dy2O7 relaxed with PBEsol, as listed in the Alexandria database.

Properties
ΔE_f (raw) = -4003 kJ/mol of formula units
polymorph energy (0 for the lowest one) = 0.000 kcal/mol of atoms
crystal system = orthorhombic

Structure (POSCAR):
```
Ce2Dy2O7
1.0
3.715 0.000 0.000
0.000 7.671 0.000
0.000 0.000 10.753
Ce O Dy
4 14 4
Direct
0.000 0.750 0.255
0.500 0.000 0.000
0.500 0.500 0.000
0.000 0.250 0.745
0.500 0.250 0.127
0.500 0.750 0.873
0.500 0.750 0.134
0.000 0.990 0.123
0.000 0.510 0.123
0.000 0.041 0.375
0.000 0.541 0.625
0.500 0.750 0.392
0.000 0.959 0.625
0.000 0.490 0.877
0.000 0.459 0.375
0.500 0.250 0.866
0.500 0.250 0.608
0.000 0.010 0.877
0.000 0.750 0.769
0.500 0.500 0.500
0.500 0.000 0.500
0.000 0.250 0.231
```

---

First-principles (SCAN) data for a crystal of AlTc2Te relaxed with PBEsol, as listed in the Alexandria database.

Properties
ΔE_f (raw) = 21 kJ/mol of formula units
polymorph energy (0 for the lowest one) = 3.172 kcal/mol of atoms
crystal system = tetragonal

Structure (POSCAR):
```
AlTc2Te
1.0
-2.477 -0.766 1.468
1.655 -1.205 2.165
0.097 6.887 3.758
Te Al Tc
1 1 2
Direct
0.000 0.000 0.459
0.500 0.500 0.815
0.000 0.000 0.015
0.500 0.500 0.212
```

---

First-principles (SCAN) data for a crystal of NbRhPb2 relaxed with PBEsol, as listed in the Alexandria database.

Properties
formation enthalpy at 0 K = 0.34 eV per atom
crystal system = cubic

Structure (POSCAR):
```
NbRhPb2
1.0
4.790 0.000 0.000
2.395 4.149 0.000
2.395 1.383 3.911
Pb Nb Rh
2 1 1
Direct
0.250 0.250 0.250
0.750 0.750 0.750
0.000 0.000 0.000
0.500 0.500 0.500
```

---

First-principles (SCAN) data for a crystal of CaP2Se relaxed with PBEsol, as listed in the Alexandria database.

Properties
ΔE_f (raw) = -157 kJ/mol of formula units
crystal system = orthorhombic

Structure (POSCAR):
```
CaP2Se
1.0
-1.035 -1.734 -3.327
3.749 -0.644 -0.821
-1.603 -3.370 4.527
Ca Se P
1 1 2
Direct
0.500 0.500 0.000
0.000 0.000 0.000
0.500 0.000 0.500
0.000 0.500 0.500
```

---

First-principles (SCAN) data for a crystal of ZnOsN2F relaxed with PBEsol, as listed in the Alexandria database.

Properties
ΔE_f (raw) = 702 kJ/mol of formula units
crystal system = tetragonal

Structure (POSCAR):
```
ZnOsN2F
1.0
-0.741 -0.130 3.591
1.044 -3.719 0.081
3.637 1.038 0.788
Os F N Zn
1 1 2 1
Direct
0.500 0.500 0.500
0.500 0.000 0.000
0.000 0.000 0.500
0.000 0.500 0.000
0.000 0.000 0.000
```

---

First-principles (SCAN) data for a crystal of Sr2FeW relaxed with PBEsol, as listed in the Alexandria database.

Properties
polymorph energy (0 for the lowest one) = 13.986 kcal/mol of atoms
formation enthalpy at 0 K = 1.32 eV per atom
crystal system = tetragonal

Structure (POSCAR):
```
Sr2FeW
1.0
2.938 0.086 0.000
-0.084 2.939 0.000
0.000 0.000 10.076
Sr W Fe
2 1 1
Direct
0.000 0.000 0.241
0.000 0.000 0.759
0.500 0.500 0.500
0.500 0.500 0.000
```